Material: LiAgPt2
Method: DFT, PBE-GGA
State: optimized geometry

The raw total energy is -4.442 eV per atom. The calculation puts the mass density at 13417 kg/m³. The calculation puts the formation enthalpy at 0 K at -0.230 eV/atom. As for the symmetry: Pmmm. As for the polymorph energy (0 for the lowest one): 0.1160 eV/atom.

Unit cell a=2.7323 b=4.1796 c=5.4726 alpha=90.00 beta=90.00 gamma=90.00
Positions (direct):
Li 0.0000 0.0000 0.0000
Ag 0.0000 0.0000 0.5000
Pt 0.5000 0.5000 0.2413
Pt 0.5000 0.5000 0.7587